PaTaCu after structural relaxation. Source: Alexandria via LeMat-Bulk, functional GGA-PBE.

Values from the calculation:
ΔH_f (0 K), eV/atom: 0.14
Energy, eV per atom: -8.346
Theoretical density, g cm⁻³: 14.1
DOS at the Fermi energy, states/eV/cell: 6.99
Crystal system: tetragonal
Energy above the most stable polymorph in this dataset, meV per atom: 49
Size of the total moment, μB/cell: 0.00

Lattice parameters (Å, degrees): 2.9384 2.9384 13.0062 90.00 90.00 90.00
Last column: nearest neighbours and their distance in Å.
Space group I4mm (No. 107)
Unique sites:
Pa  0.0000  0.0000  0.0000  4 Pa 2.94, 4 Cu 3.05, 4 Ta 3.21
Ta  0.0000  0.0000  0.6885  4 Cu 2.76, 4 Ta 2.94
Cu  0.0000  0.0000  0.3281  4 Ta 2.76, 4 Cu 2.94, 4 Pa 3.05

=====

Dy4ErPd4 after structural relaxation. Source: Alexandria via LeMat-Bulk, functional GGA-PBE.

Values from the calculation:
ΔH_f (0 K), eV/atom: -0.68
Energy, eV per atom: -5.538
Theoretical density, g cm⁻³: 9.0
DOS at the Fermi energy, states/eV/cell: 14.18
Crystal system: tetragonal
Size of the total moment, μB/cell: 0.00

Lattice parameters (Å, degrees): 8.9113 8.9113 5.7920 90.00 90.00 90.00
Last column: nearest neighbours and their distance in Å.
Space group P4_2/n (No. 86, origin choice 2)
Unique sites:
Dy  0.0673  0.6603  0.1595  5 Pd 2.82-2.95
Er  0.2500  0.2500  0.2500  4 Pd 2.77
Pd  0.0294  0.6286  0.6551  1 Er 2.77, 5 Dy 2.82-2.95, 1 Pd 2.96

=====

Ce5Bi2Sb2 after structural relaxation. Source: Alexandria via LeMat-Bulk, functional GGA-PBE.

Values from the calculation:
Energy, eV per atom: -5.882
Theoretical density, g cm⁻³: 7.9
DOS at the Fermi energy, states/eV/cell: 138.70
E_form (uncorrected), eV/atom: -0.81
Crystal system: orthorhombic
Size of the total moment, μB/cell: 28.86

Lattice parameters (Å, degrees): 16.1158 8.4303 8.4503 90.00 90.00 90.00
Last column: nearest neighbours and their distance in Å.
Space group Cmce (No. 64)
Unique sites:
Ce  0.0000  0.0000  0.0000  4 Sb 3.25, 2 Bi 3.27
Ce  0.1323  0.1618  0.3386  3 Sb 3.17-3.34, 3 Bi 3.28-3.37
Bi  0.2030  0.0000  0.0000  7 Ce 3.27-3.37
Sb  0.0000  0.1411  0.6415  8 Ce 3.17-3.34, 1 Sb 3.37

=====

SrAc2Sc after structural relaxation. Source: Alexandria via LeMat-Bulk, functional GGA-PBE.

Values from the calculation:
ΔH_f (0 K), eV/atom: 0.08
Energy, eV per atom: -3.974
Theoretical density, g cm⁻³: 5.8
DOS at the Fermi energy, states/eV/cell: 4.64
Crystal system: tetragonal
Energy above the most stable polymorph in this dataset, meV per atom: 0
Size of the total moment, μB/cell: 0.00

Lattice parameters (Å, degrees): 4.0791 4.0791 10.0071 90.00 90.00 90.00
Last column: nearest neighbours and their distance in Å.
Space group P4/mmm (No. 123)
Unique sites:
Sr  0.0000  0.0000  0.0000  4 Sr 4.08, 8 Ac 4.13
Ac  0.5000  0.5000  0.2952  4 Sc 3.54
Sc  0.0000  0.0000  0.5000  8 Ac 3.54

=====

ReAuCl after structural relaxation. Source: Alexandria via LeMat-Bulk, functional GGA-PBE.

Values from the calculation:
Energy, eV per atom: -5.099
Theoretical density, g cm⁻³: 12.1
DOS at the Fermi energy, states/eV/cell: 6.73
E_form (uncorrected), eV/atom: 0.76
Crystal system: tetragonal
Energy above the most stable polymorph in this dataset, meV per atom: 259
Size of the total moment, μB/cell: 0.00

Lattice parameters (Å, degrees): 2.9381 2.9381 13.2914 90.00 90.00 90.00
Last column: nearest neighbours and their distance in Å.
Space group I4mm (No. 107)
Unique sites:
Re  0.0000  0.0000  0.0000  4 Cl 2.57, 4 Au 2.79
Au  0.0000  0.0000  0.6396  4 Re 2.79, 4 Au 2.94
Cl  0.0000  0.0000  0.3859  4 Re 2.57

=====

Cs2NdTmO4 after structural relaxation. Source: Alexandria via LeMat-Bulk, functional GGA-PBE.

Values from the calculation:
Energy, eV per atom: -6.417
Theoretical density, g cm⁻³: 6.9
DOS at the Fermi energy, states/eV/cell: 0.00
E_form (uncorrected), eV/atom: -2.57
Crystal system: monoclinic
Size of the total moment, μB/cell: 0.00

Lattice parameters (Å, degrees): 6.2460 3.6061 7.2129 90.00 106.68 90.00
Last column: nearest neighbours and their distance in Å.
Space group P2/m (No. 10)
Unique sites:
Cs  0.0000  0.0000  0.0000  6 O 3.14-3.16
Cs  0.5000  0.5000  0.0000  6 O 3.06-3.08
Nd  0.0000  0.5000  0.5000  6 O 2.42-2.44
Tm  0.5000  0.0000  0.5000  6 O 2.30-2.34
O  0.2355  0.0000  0.6661  1 Tm 2.30, 2 Nd 2.42
O  0.2902  0.5000  0.3350  2 Tm 2.34, 1 Nd 2.44

=====

Nd6Cd2In after structural relaxation. Source: Alexandria via LeMat-Bulk, functional GGA-PBE.

Values from the calculation:
ΔH_f (0 K), eV/atom: -0.23
Energy, eV per atom: -3.919
Theoretical density, g cm⁻³: 7.2
DOS at the Fermi energy, states/eV/cell: 10.06
Crystal system: trigonal
Energy above the most stable polymorph in this dataset, meV per atom: 0
Size of the total moment, μB/cell: 0.00

Lattice parameters (Å, degrees): 5.5483 5.5483 10.4721 90.00 90.00 120.00
Last column: nearest neighbours and their distance in Å.
Space group P-3m1 (No. 164)
Unique sites:
Nd  0.0000  0.0000  0.1758  1 In 3.39, 3 Cd 3.43, 7 Nd 3.63-3.77
Nd  0.3333  0.6667  0.0138  1 Cd 3.21, 3 Nd 3.22
Nd  0.3333  0.6667  0.3861  4 Cd 3.35-3.36, 3 In 3.42
Cd  0.3333  0.6667  0.7068  8 Nd 3.21-3.43
In  0.0000  0.0000  0.5000  8 Nd 3.39-3.42

=====

GaMo2C after structural relaxation. Source: Alexandria via LeMat-Bulk, functional GGA-PBE.

Values from the calculation:
ΔH_f (0 K), eV/atom: -0.03
Energy, eV per atom: -8.511
Theoretical density, g cm⁻³: 8.5
DOS at the Fermi energy, states/eV/cell: 11.42
Crystal system: monoclinic
Energy above the most stable polymorph in this dataset, meV per atom: 91
Size of the total moment, μB/cell: 0.00

Lattice parameters (Å, degrees): 11.1723 3.0084 7.2658 90.00 119.06 90.00
Last column: nearest neighbours and their distance in Å.
Space group Cm (No. 8)
Unique sites:
Ga  0.0000  0.0000  0.0000  7 Mo 2.69-2.81, 1 C 2.77, 4 Ga 2.95-3.01
Ga  0.2116  0.5000  0.9542  7 Mo 2.77-2.83, 5 Ga 2.95-3.07
Mo  0.2000  0.5000  0.3308  4 C 2.14-2.27
Mo  0.2840  0.0000  0.7037  2 C 2.12
Mo  0.4303  0.0000  0.2614  3 C 2.13-2.19
Mo  0.4994  0.5000  0.6292  3 C 2.09-2.13
C  0.0893  0.0000  0.4288  6 Mo 2.12-2.27
C  0.3544  0.0000  0.4802  6 Mo 2.09-2.14

=====

CePuZr after structural relaxation. Source: Alexandria via LeMat-Bulk, functional GGA-PBE.

Values from the calculation:
ΔH_f (0 K), eV/atom: 0.12
Energy, eV per atom: -9.485
Theoretical density, g cm⁻³: 10.6
DOS at the Fermi energy, states/eV/cell: 13.68
Crystal system: tetragonal
Energy above the most stable polymorph in this dataset, meV per atom: 24
Size of the total moment, μB/cell: 10.09

Lattice parameters (Å, degrees): 3.2718 3.2718 13.9107 90.00 90.00 90.00
Last column: nearest neighbours and their distance in Å.
Space group I4mm (No. 107)
Unique sites:
Ce  0.0000  0.0000  0.0000  4 Pu 3.23, 4 Ce 3.27, 4 Zr 3.36
Pu  0.0000  0.0000  0.6620  4 Ce 3.23, 4 Zr 3.24, 4 Pu 3.27
Zr  0.0000  0.0000  0.3250  4 Pu 3.24, 4 Zr 3.27, 4 Ce 3.36

=====

CsTe2IrS after structural relaxation. Source: Alexandria via LeMat-Bulk, functional GGA-PBE.

Values from the calculation:
Energy, eV per atom: -3.684
Theoretical density, g cm⁻³: 6.5
DOS at the Fermi energy, states/eV/cell: 4.07
E_form (uncorrected), eV/atom: 0.34
Crystal system: tetragonal
Size of the total moment, μB/cell: 1.38

Lattice parameters (Å, degrees): 5.9854 5.9854 4.3509 90.00 90.00 90.00
Last column: nearest neighbours and their distance in Å.
Space group P4/mmm (No. 123)
Unique sites:
Cs  0.0000  0.0000  0.0000  8 Te 3.70
Te  0.0000  0.5000  0.5000  2 S 2.99
Ir  0.5000  0.5000  0.0000  2 S 2.18
S  0.5000  0.5000  0.5000  2 Ir 2.18

=====

NaSr3B after structural relaxation. Source: Alexandria via LeMat-Bulk, functional GGA-PBE.

Values from the calculation:
ΔH_f (0 K), eV/atom: 0.29
Energy, eV per atom: -2.320
Theoretical density, g cm⁻³: 2.5
DOS at the Fermi energy, states/eV/cell: 4.77
Crystal system: cubic
Energy above the most stable polymorph in this dataset, meV per atom: 0
Size of the total moment, μB/cell: 0.63

Lattice parameters (Å, degrees): 5.8352 5.8352 5.8352 90.00 90.00 90.00
Last column: nearest neighbours and their distance in Å.
Space group Pm-3m (No. 221)
Unique sites:
Na  0.0000  0.0000  0.0000  12 Sr 4.13
Sr  0.0000  0.5000  0.5000  2 B 2.92
B  0.5000  0.5000  0.5000  6 Sr 2.92

=====

Tb2PrEr4 after structural relaxation. Source: Alexandria via LeMat-Bulk, functional GGA-PBE.

Values from the calculation:
ΔH_f (0 K), eV/atom: 0.04
Energy, eV per atom: -4.577
Theoretical density, g cm⁻³: 8.4
DOS at the Fermi energy, states/eV/cell: 20.08
Crystal system: monoclinic
Energy above the most stable polymorph in this dataset, meV per atom: 0
Size of the total moment, μB/cell: 0.00

Lattice parameters (Å, degrees): 16.6121 3.5233 8.7342 90.00 119.50 90.00
Last column: nearest neighbours and their distance in Å.
Space group C2/m (No. 12)
Unique sites:
Tb  0.0699  0.0000  0.4297  1 Tb 3.12, 1 Er 3.29, 1 Pr 3.34
Pr  0.0000  0.0000  0.0000  2 Tb 3.34, 2 Pr 3.52, 4 Er 3.58
Er  0.1439  0.5000  0.8360  7 Er 3.52-3.71, 4 Tb 3.59-3.60, 2 Pr 3.77
Er  0.2063  0.5000  0.2946  3 Tb 3.29-3.50, 7 Er 3.52-3.66, 2 Pr 3.58